VASP calculation (PBE-GGA) on a relaxed Tc2CI crystal.

Formation energy without anion corrections   0.81 eV/atom
E above lowest polymorph   0.0 meV/atom
Crystal system   tetragonal

Lattice parameters (Å, degrees): 5.2682 5.2682 6.3776 65.60 65.60 90.00
Closest atoms and distances in Å follow each position.
Element x y z (fractional)
C1 0.2500 0.7500 0.5000  4 Tc 1.99
Tc1 0.2342 0.6250 0.2500  2 C 1.99
Tc2 0.3750 0.4842 0.7500  2 C 1.99
C2 0.5000 0.5000 0.0000  4 Tc 1.99
I1 0.7500 0.2500 0.5000  4 Tc 2.64
Tc3 0.8750 0.7658 0.7500  2 C 1.99
Tc4 0.5158 0.1250 0.2500  2 C 1.99
I2 0.0000 0.0000 0.0000  4 Tc 2.64

---

VASP calculation (PBE-GGA) on a relaxed Rb3DyCl8 crystal.

Formation energy without anion corrections   -1.60 eV/atom
Crystal system   tetragonal

Lattice parameters (Å, degrees): 7.4523 7.4523 9.1857 113.93 113.93 90.00
Closest atoms and distances in Å follow each position.
Element x y z (fractional)
Cl1 0.6760 0.1069 0.7829  1 Dy 2.80
Cl2 0.8931 0.3240 0.2171  1 Dy 2.80
Cl3 0.1069 0.1069 0.7829  1 Dy 2.80
Dy1 0.0000 0.0000 0.0000  8 Cl 2.80
Cl4 0.3240 0.8931 0.2171  1 Dy 2.80
Cl5 0.1069 0.6760 0.7829  1 Dy 2.80
Rb1 0.5000 0.5000 0.0000  8 Cl 3.41
Cl6 0.6760 0.6760 0.7829  1 Dy 2.80
Cl7 0.8931 0.8931 0.2171  1 Dy 2.80
Rb2 0.7500 0.2500 0.5000  8 Cl 3.41
Rb3 0.2500 0.7500 0.5000  8 Cl 3.41
Cl8 0.3240 0.3240 0.2171  1 Dy 2.80

---

VASP calculation (PBE-GGA) on a relaxed LaCd2Ag crystal.

ΔE_f   -0.305 eV per atom
Crystal system   monoclinic

Lattice parameters (Å, degrees): 5.1708 5.1708 5.1763 60.01 60.01 60.05
Closest atoms and distances in Å follow each position.
Element x y z (fractional)
Cd1 0.0000 0.0000 0.9998  4 Ag 3.17, 4 Cd 3.17
Cd2 0.2501 0.2501 0.2495  4 Cd 3.17, 4 La 3.17
Ag1 0.7499 0.7499 0.7506  4 Cd 3.17, 4 La 3.17
La1 0.5000 0.5000 0.5001  4 Cd 3.17, 4 Ag 3.17

---

VASP calculation (PBE-GGA) on a relaxed ErMnPdRh crystal.

ΔE_f   -0.548 eV per atom
Crystal system   cubic

Lattice parameters (Å, degrees): 4.6163 4.6163 4.6163 60.00 60.00 60.00
Closest atoms and distances in Å follow each position.
Element x y z (fractional)
Pd1 0.0000 0.0000 0.0000  4 Er 2.83, 4 Mn 2.83
Mn1 0.7500 0.7500 0.7500  4 Rh 2.83, 4 Pd 2.83
Er1 0.2500 0.2500 0.2500  4 Rh 2.83, 4 Pd 2.83
Rh1 0.5000 0.5000 0.5000  4 Mn 2.83, 4 Er 2.83

---

VASP calculation (PBE-GGA) on a relaxed Pm8Ga2Ni crystal.

ΔE_f   -0.180 eV per atom
E above lowest polymorph   65.8 meV/atom
Crystal system   orthorhombic

Lattice parameters (Å, degrees): 5.3697 6.9597 9.2614 112.06 106.85 90.00
Closest atoms and distances in Å follow each position.
Element x y z (fractional)
Pm1 0.0000 0.7496 0.0000  2 Ni 3.20, 6 Pm 3.40-3.49, 2 Ga 3.46
Ga1 0.1837 0.6836 0.3673  12 Pm 3.28-3.58
Ga2 0.8163 0.3164 0.6327  12 Pm 3.28-3.58
Pm2 0.6281 0.8646 0.2563  1 Ni 2.78
Pm3 0.3717 0.6082 0.7435  1 Ni 2.78
Pm4 0.3719 0.1354 0.7437  1 Ni 2.78
Pm5 0.6283 0.3918 0.2565  1 Ni 2.78
Ni1 0.5000 0.0000 0.0000  4 Pm 2.78
Pm6 0.8000 0.8000 0.5999  6 Pm 3.25-3.46, 4 Ga 3.29-3.49
Pm7 0.0000 0.2504 0.0000  2 Ni 3.20, 6 Pm 3.40-3.49, 2 Ga 3.46
Pm8 0.2000 0.2000 0.4001  6 Pm 3.25-3.46, 4 Ga 3.29-3.49

---

VASP calculation (PBE-GGA) on a relaxed CaIrW crystal.

ΔE_f   0.453 eV per atom
E above lowest polymorph   241.3 meV/atom
Crystal system   trigonal

Lattice parameters (Å, degrees): 4.5948 4.5948 3.0183 90.00 90.00 120.00
Closest atoms and distances in Å follow each position.
Element x y z (fractional)
Ca1 0.0000 0.0000 0.9966  6 W 2.93-3.19, 6 Ir 2.95-3.17, 2 Ca 3.02
W1 0.3333 0.6667 0.5807  3 Ir 2.70, 3 Ca 2.93, 2 W 3.02
Ir1 0.6667 0.3333 0.4227  3 W 2.70, 3 Ca 2.95, 2 Ir 3.02

---

VASP calculation (PBE-GGA) on a relaxed Sr2LaIrI crystal.

Formation energy without anion corrections   -0.55 eV/atom
Crystal system   tetragonal

Lattice parameters (Å, degrees): 6.0935 6.0935 5.3857 90.00 90.00 90.00
Closest atoms and distances in Å follow each position.
Element x y z (fractional)
I1 0.5000 0.5000 0.5000  8 Sr 4.07, 4 La 4.31
Sr1 0.0000 0.5000 0.0000  2 Ir 3.05
Ir1 0.0000 0.0000 0.0000  2 La 2.69
La1 0.0000 0.0000 0.5000  2 Ir 2.69
Sr2 0.5000 0.0000 0.0000  2 Ir 3.05

---

VASP calculation (PBE-GGA) on a relaxed TlFeSi2 crystal.

Formation energy without anion corrections   0.82 eV/atom
E above lowest polymorph   684.9 meV/atom
Crystal system   cubic

Lattice parameters (Å, degrees): 4.6324 4.6324 4.6324 60.00 60.00 60.00
Closest atoms and distances in Å follow each position.
Element x y z (fractional)
Fe1 0.5000 0.5000 0.5000  4 Si 2.84, 4 Tl 2.84
Si1 0.2500 0.2500 0.2500  4 Fe 2.84, 4 Si 2.84
Tl1 0.7500 0.7500 0.7500  4 Si 2.84, 4 Fe 2.84
Si2 0.0000 0.0000 0.0000  4 Tl 2.84, 4 Si 2.84

---

VASP calculation (PBE-GGA) on a relaxed NdTmSnHg crystal.

ΔE_f   -0.563 eV per atom
E above lowest polymorph   0.0 meV/atom
Crystal system   orthorhombic

Lattice parameters (Å, degrees): 4.4307 4.4443 6.1843 90.00 110.99 90.00
Closest atoms and distances in Å follow each position.
Element x y z (fractional)
Tm1 0.1385 0.0000 0.2770  3 Hg 3.16-3.43, 4 Sn 3.19
Hg1 0.4118 0.0000 0.8236  2 Sn 3.01, 1 Tm 3.16, 4 Nd 3.19
Nd1 0.8623 0.5000 0.7245  3 Sn 3.17-3.42, 4 Hg 3.19
Sn1 0.5874 0.5000 0.1749  2 Hg 3.01, 1 Nd 3.17, 4 Tm 3.19

---

VASP calculation (PBE-GGA) on a relaxed Pu2TlO crystal.

Formation energy without anion corrections   -1.12 eV/atom
E above lowest polymorph   0.0 meV/atom
Crystal system   trigonal

Lattice parameters (Å, degrees): 3.5827 3.5827 8.3731 77.65 77.65 60.00
Closest atoms and distances in Å follow each position.
Element x y z (fractional)
Tl1 0.4996 0.4996 0.5013  6 Pu 3.37-3.39, 6 Tl 3.58
O1 0.6689 0.6689 0.9934  6 Pu 2.45-2.53
Pu1 0.2757 0.2757 0.1730  3 O 2.53
Pu2 0.0559 0.0559 0.8323  3 O 2.45

---

VASP calculation (PBE-GGA) on a relaxed LiPr3Tm2Te6 crystal.

Formation energy without anion corrections   -1.34 eV/atom
Crystal system   monoclinic

Lattice parameters (Å, degrees): 4.3833 8.8822 9.9169 104.14 102.77 90.00
Closest atoms and distances in Å follow each position.
Element x y z (fractional)
Tm1 0.1645 0.3343 0.3291  6 Te 3.00-3.08
Te1 0.3288 0.4269 0.6576  3 Tm 3.03-3.08, 3 Pr 3.18-3.21
Te2 0.0045 0.2339 0.0089  1 Tm 3.00, 2 Li 3.01, 3 Pr 3.17-3.24
Pr1 0.8359 0.1724 0.6717  6 Te 3.17-3.26
Pr2 0.1641 0.8276 0.3283  6 Te 3.17-3.26
Te3 0.6619 0.0921 0.3238  1 Li 3.03, 2 Tm 3.06, 3 Pr 3.22-3.26
Pr3 0.5000 0.5000 0.0000  6 Te 3.21-3.24
Te4 0.3381 0.9079 0.6762  1 Li 3.03, 2 Tm 3.06, 3 Pr 3.22-3.26
Te5 0.6712 0.5731 0.3424  3 Tm 3.03-3.08, 3 Pr 3.18-3.21
Tm2 0.8355 0.6657 0.6709  6 Te 3.00-3.08
Li1 0.5000 0.0000 0.0000  6 Te 3.01-3.03
Te6 0.9955 0.7661 0.9911  1 Tm 3.00, 2 Li 3.01, 3 Pr 3.17-3.24

---

VASP calculation (PBE-GGA) on a relaxed Sm5Co2Ag2 crystal.

ΔE_f   -0.150 eV per atom
Crystal system   orthorhombic

Lattice parameters (Å, degrees): 7.3933 7.4429 8.9018 90.00 65.46 90.00
Closest atoms and distances in Å follow each position.
Element x y z (fractional)
Sm1 0.3067 0.6829 0.7510  3 Co 2.97-3.02, 3 Ag 3.12-3.17
Ag1 0.7805 0.0000 0.4391  6 Sm 3.12-3.17
Co1 0.3920 0.8898 0.0000  1 Co 2.29
Sm2 0.0000 0.0000 0.0000  4 Co 3.01
Sm3 0.4423 0.1829 0.7510  3 Co 2.97-3.02, 3 Ag 3.12-3.17
Sm4 0.5577 0.8171 0.2490  3 Co 2.97-3.02, 3 Ag 3.12-3.17
Co2 0.1080 0.3898 0.0000  1 Co 2.29
Ag2 0.2805 0.5000 0.4391  6 Sm 3.12-3.17
Co3 0.8920 0.6102 0.0000  1 Co 2.29
Sm5 0.9423 0.3171 0.7510  3 Co 2.97-3.02, 3 Ag 3.12-3.17
Sm6 0.1933 0.1829 0.2490  3 Co 2.97-3.02, 3 Ag 3.12-3.17
Ag3 0.2195 0.0000 0.5609  6 Sm 3.12-3.17
Sm7 0.8067 0.8171 0.7510  3 Co 2.97-3.02, 3 Ag 3.12-3.17
Sm8 0.5000 0.5000 0.0000  4 Co 3.01
Sm9 0.0577 0.6829 0.2490  3 Co 2.97-3.02, 3 Ag 3.12-3.17
Sm10 0.6933 0.3171 0.2490  3 Co 2.97-3.02, 3 Ag 3.12-3.17
Co4 0.6080 0.1102 0.0000  1 Co 2.29
Ag4 0.7195 0.5000 0.5609  6 Sm 3.12-3.17

---

These records have mass density values of 7.742 2.792 7.998 10.301 7.402 12.521 5.258 7.474 9.237 13.042 6.983 8.089 g/cm3, in the order they appear.
These records have VASP energy values of -7.07 -3.46 -2.71 -7.12 -4.71 -7.49 -4.29 -4.60 -3.95 -10.12 -5.01 -4.98 eV/atom, in the order they appear.